(1)
## Rb2TiTcI (meta-GGA SCAN)

Data for a crystal of Rb2TiTcI relaxed with PBEsol.

It has space group P4/mmm (No. 123), with a = 6.760 Å, b = 6.760 Å, c = 5.051 Å, α = 90.00°, β = 90.00° and γ = 90.00°. The asymmetric unit holds Rb at (0.000, 0.500, 0.000), Ti at (0.000, 0.000, 0.500), Tc at (0.500, 0.500, 0.500) and I at (0.500, 0.500, 0.000).

The calculation puts the density of states at the Fermi level at 9.70 states/eV per cell. As for the raw formation energy: 1.147 eV/atom. For the final energy, the calculation gives -24.715 eV per atom.

(2)
## RbTeI3 (meta-GGA SCAN)

Data for a crystal of RbTeI3 relaxed with PBEsol.

It has space group Pm-3m (No. 221), with a = 6.094 Å, b = 6.094 Å, c = 6.094 Å, α = 90.00°, β = 90.00° and γ = 90.00°. The asymmetric unit holds Rb at (0.000, 0.000, 0.000), Te at (0.500, 0.500, 0.500) and I at (0.000, 0.500, 0.500).

The calculation puts the density of states at the Fermi level at 2.87 states/eV per cell. As for the raw formation energy: -0.692 eV/atom. For the final energy, the calculation gives -34.335 eV per atom.

(3)
## Rb2TeI6 (meta-GGA SCAN)

Data for a crystal of Rb2TeI6 relaxed with PBEsol.

It has space group P4/mnc (No. 128), with a = 7.856 Å, b = 7.856 Å, c = 12.173 Å, α = 90.00°, β = 90.00° and γ = 90.00°. The asymmetric unit holds Rb at (0.000, 0.500, 0.250), Te at (0.000, 0.000, 0.000), I at (0.000, 0.000, 0.242) and I at (0.188, 0.293, 0.500).

The calculation puts the density of states at the Fermi level at 0.00 states/eV per cell. As for the raw formation energy: -0.852 eV/atom. For the final energy, the calculation gives -34.094 eV per atom.

(4)
## RbYTeI2 (meta-GGA SCAN)

Data for a crystal of RbYTeI2 relaxed with PBEsol.

It has space group P4/mmm (No. 123), with a = 6.014 Å, b = 6.014 Å, c = 5.827 Å, α = 90.00°, β = 90.00° and γ = 90.00°. The asymmetric unit holds Rb at (0.000, 0.000, 0.000), Y at (0.500, 0.500, 0.500), Te at (0.500, 0.500, 0.000) and I at (0.000, 0.500, 0.500).

The calculation puts the density of states at the Fermi level at 0.00 states/eV per cell. As for the raw formation energy: -1.465 eV/atom. For the final energy, the calculation gives -33.329 eV per atom.

(5)
## RbZnTeI2 (meta-GGA SCAN)

Data for a crystal of RbZnTeI2 relaxed with PBEsol.

It has space group P4/mmm (No. 123), with a = 6.696 Å, b = 6.696 Å, c = 6.819 Å, α = 90.00°, β = 90.00° and γ = 90.00°. The asymmetric unit holds Rb at (0.000, 0.000, 0.000), Zn at (0.500, 0.500, 0.500), Te at (0.000, 0.000, 0.500) and I at (0.000, 0.500, 0.000).

The calculation puts the density of states at the Fermi level at 6.09 states/eV per cell. As for the raw formation energy: 0.350 eV/atom. For the final energy, the calculation gives -28.647 eV per atom.

(6)
## Rb2TlI (meta-GGA SCAN)

Data for a crystal of Rb2TlI relaxed with PBEsol.

It has space group Fm-3m (No. 225), with a = 8.870 Å, b = 8.870 Å, c = 8.870 Å, α = 90.00°, β = 90.00° and γ = 90.00°. The asymmetric unit holds Rb at (0.250, 0.250, 0.250), Tl at (0.000, 0.000, 0.000) and I at (0.000, 0.000, 0.500).

The calculation puts the density of states at the Fermi level at 16.86 states/eV per cell. As for the raw formation energy: -0.576 eV/atom. For the final energy, the calculation gives -38.220 eV per atom.

(7)
## Rb2Tl2I (meta-GGA SCAN)

Data for a crystal of Rb2Tl2I relaxed with PBEsol.

It has space group I4/mmm (No. 139), with a = 4.386 Å, b = 4.386 Å, c = 21.359 Å, α = 90.00°, β = 90.00° and γ = 90.00°. The asymmetric unit holds Rb at (0.000, 0.000, 0.098), Tl at (0.000, 0.500, 0.250) and I at (0.000, 0.000, 0.500).

The calculation puts the density of states at the Fermi level at 3.29 states/eV per cell. As for the raw formation energy: -0.698 eV/atom. For the final energy, the calculation gives -45.286 eV per atom.

(8)
## Rb2YTlI6 (meta-GGA SCAN)

Data for a crystal of Rb2YTlI6 relaxed with PBEsol.

It has space group Fm-3m (No. 225), with a = 12.460 Å, b = 12.460 Å, c = 12.460 Å, α = 90.00°, β = 90.00° and γ = 90.00°. The asymmetric unit holds Rb at (0.250, 0.250, 0.250), Y at (0.000, 0.000, 0.000), Tl at (0.000, 0.000, 0.500) and I at (0.000, 0.000, 0.239).

The calculation puts the density of states at the Fermi level at 0.00 states/eV per cell. As for the raw formation energy: -1.375 eV/atom. For the final energy, the calculation gives -37.588 eV per atom.

(9)
## RbTmI3 (meta-GGA SCAN)

Data for a crystal of RbTmI3 relaxed with PBEsol.

It has space group Pnma (No. 62), with a = 10.035 Å, b = 4.172 Å, c = 17.468 Å, α = 90.00°, β = 90.00° and γ = 90.00°. The asymmetric unit holds Rb at (0.065, 0.250, 0.171), Tm at (0.123, 0.750, 0.455), I at (0.054, 0.750, 0.624), I at (0.170, 0.750, 0.001) and I at (0.234, 0.250, 0.801).

The calculation puts the density of states at the Fermi level at 0.35 states/eV per cell. As for the raw formation energy: -1.404 eV/atom. For the final energy, the calculation gives -37.963 eV per atom.

(10)
## Rb5Tm3I12 (meta-GGA SCAN)

Data for a crystal of Rb5Tm3I12 relaxed with PBEsol.

It has space group P-62m (No. 189), with a = 14.8234 Å, b = 14.8234 Å, c = 4.3418 Å, α = 90.00°, β = 90.00° and γ = 120.00°. The asymmetric unit holds Rb at (0.0000, 0.2770, 0.0000), Rb at (0.3333, 0.6667, 0.0000), Tm at (0.0000, 0.6695, 0.5000), I at (0.0000, 0.5282, 0.0000), I at (0.0000, 0.8137, 0.0000) and I at (0.2105, 0.4430, 0.5000).

The calculation puts the density of states at the Fermi level at 3.93 states/eV per cell. As for the raw formation energy: -1.478 eV/atom. For the final energy, the calculation gives -36.483 eV per atom.

(11)
## RbYI2 (meta-GGA SCAN)

Data for a crystal of RbYI2 relaxed with PBEsol.

It has space group Fm-3m (No. 225), with a = 7.995 Å, b = 7.995 Å, c = 7.995 Å, α = 90.00°, β = 90.00° and γ = 90.00°. The asymmetric unit holds Rb at (0.000, 0.000, 0.000), Y at (0.000, 0.000, 0.500) and I at (0.250, 0.250, 0.250).

The calculation puts the density of states at the Fermi level at 3.93 states/eV per cell. As for the raw formation energy: -0.818 eV/atom. For the final energy, the calculation gives -31.334 eV per atom.

(12)
## RbY2I (meta-GGA SCAN)

Data for a crystal of RbY2I relaxed with PBEsol.

It has space group Fm-3m (No. 225), with a = 7.909 Å, b = 7.909 Å, c = 7.909 Å, α = 90.00°, β = 90.00° and γ = 90.00°. The asymmetric unit holds Rb at (0.000, 0.000, 0.000), Y at (0.250, 0.250, 0.250) and I at (0.000, 0.000, 0.500).

The calculation puts the density of states at the Fermi level at 12.26 states/eV per cell. As for the raw formation energy: 0.472 eV/atom. For the final energy, the calculation gives -27.819 eV per atom.

Which of these has the highest final energy? Rb2TiTcI

Copy entry 6 word for word.
## Rb2TlI (meta-GGA SCAN)

Data for a crystal of Rb2TlI relaxed with PBEsol.

It has space group Fm-3m (No. 225), with a = 8.870 Å, b = 8.870 Å, c = 8.870 Å, α = 90.00°, β = 90.00° and γ = 90.00°. The asymmetric unit holds Rb at (0.250, 0.250, 0.250), Tl at (0.000, 0.000, 0.000) and I at (0.000, 0.000, 0.500).

The calculation puts the density of states at the Fermi level at 16.86 states/eV per cell. As for the raw formation energy: -0.576 eV/atom. For the final energy, the calculation gives -38.220 eV per atom.